Density functional theory data (PBE-GGA) for an optimized crystal structure of Tm2AlNi4Ge3.

Computed properties:
The magnetic moment is 0.00 μB per cell. For the total energy, the calculation gives -5.662 eV per atom. The calculation puts the formation energy at -0.696 eV/atom. The value obtained for the volume is 158.1 Å³/cell.

Lattice parameters (Å, degrees): 4.000 4.000 9.880 90.00 90.00 90.00
Sites, in units of the cell vectors:
Tm 0.000 0.500 0.247
Tm 0.500 0.000 0.753
Al 0.000 0.000 0.500
Ni 0.000 0.000 0.000
Ni 0.000 0.500 0.636
Ni 0.500 0.000 0.364
Ni 0.500 0.500 0.000
Ge 0.000 0.500 0.870
Ge 0.500 0.000 0.130
Ge 0.500 0.500 0.500

Density functional theory data (PBE-GGA) for an optimized crystal structure of Nd7Mg5.

Computed properties:
The magnetic moment is 0.00 μB per cell. For the total energy, the calculation gives -3.460 eV per atom. The calculation puts the formation energy at -0.015 eV/atom. The value obtained for the volume is 364.8 Å³/cell.

Lattice parameters (Å, degrees): 6.616 6.616 11.075 90.16 90.16 48.81
Sites, in units of the cell vectors:
Nd 0.000 0.000 0.000
Nd 0.175 0.175 0.750
Nd 0.345 0.345 0.487
Nd 0.481 0.481 0.771
Nd 0.519 0.519 0.229
Nd 0.655 0.655 0.513
Nd 0.825 0.825 0.250
Mg 0.000 0.000 0.500
Mg 0.157 0.157 0.273
Mg 0.304 0.304 0.035
Mg 0.696 0.696 0.965
Mg 0.843 0.843 0.727

Density functional theory data (PBE-GGA) for an optimized crystal structure of Ba3Pr3TmS8.

Computed properties:
The magnetic moment is 0.00 μB per cell. For the total energy, the calculation gives -5.892 eV per atom. The value obtained for the volume is 440.9 Å³/cell.

Lattice parameters (Å, degrees): 8.348 8.348 8.748 118.46 118.46 60.02
Sites, in units of the cell vectors:
Ba 0.000 0.000 0.000
Ba 0.000 0.500 0.000
Ba 0.500 0.000 0.000
Pr 0.000 0.500 0.500
Pr 0.500 0.000 0.500
Pr 0.500 0.500 0.500
Tm 0.000 0.000 0.500
S 0.229 0.229 0.709
S 0.229 0.752 0.710
S 0.248 0.771 0.290
S 0.259 0.259 0.276
S 0.741 0.741 0.724
S 0.752 0.229 0.710
S 0.771 0.248 0.290
S 0.771 0.771 0.291

Density functional theory data (PBE-GGA) for an optimized crystal structure of CuTcSn6.

Computed properties:
The magnetic moment is 0.00 μB per cell. For the total energy, the calculation gives -4.556 eV per atom. The calculation puts the formation energy at 0.254 eV/atom. The value obtained for the volume is 207.2 Å³/cell.

Lattice parameters (Å, degrees): 5.894 5.894 6.456 97.07 97.07 109.01
Sites, in units of the cell vectors:
Cu 0.000 0.000 0.000
Tc 0.500 0.500 0.500
Sn 0.110 0.468 0.222
Sn 0.184 0.184 0.680
Sn 0.468 0.110 0.222
Sn 0.532 0.890 0.778
Sn 0.816 0.816 0.320
Sn 0.890 0.532 0.778